Record 1
First-principles (PBE) data for a relaxed RbNaB2 crystal, as listed in Alexandria.

Geometry as CIF:
```
data_RbNaB2
_space_group_name_H-M_alt 'I 41/a m d'
_space_group_IT_number 141
_cell_length_a 3.7775
_cell_length_b 3.7775
_cell_length_c 19.4444
_cell_angle_alpha 90.00
_cell_angle_beta 90.00
_cell_angle_gamma 90.00
loop_
_space_group_symop_operation_xyz
'x,y,z'
'-x,-y,-z'
'-y+1/4,x+3/4,z+1/4'
'y+1/4,-x+3/4,-z+1/4'
'-x+1/2,-y,z+1/2'
'x+1/2,y,-z+1/2'
'y+1/4,-x+1/4,z+3/4'
'-y+1/4,x+1/4,-z+3/4'
'x,-y,-z'
'-x,y,z'
'-y+1/4,-x+1/4,-z+3/4'
'y+1/4,x+1/4,z+3/4'
'-x+1/2,y,-z+1/2'
'x+1/2,-y,z+1/2'
'y+1/4,x+3/4,-z+1/4'
'-y+1/4,-x+3/4,z+1/4'
'x+1/2,y+1/2,z+1/2'
'-x+1/2,-y+1/2,-z+1/2'
'-y+3/4,x+1/4,z+3/4'
'y+3/4,-x+1/4,-z+3/4'
'-x,-y+1/2,z'
'x,y+1/2,-z'
'y+3/4,-x+3/4,z+1/4'
'-y+3/4,x+3/4,-z+1/4'
'x+1/2,-y+1/2,-z+1/2'
'-x+1/2,y+1/2,z+1/2'
'-y+3/4,-x+3/4,-z+1/4'
'y+3/4,x+3/4,z+1/4'
'-x,y+1/2,-z'
'x,-y+1/2,z'
'y+3/4,x+1/4,-z+3/4'
'-y+3/4,-x+1/4,z+3/4'
loop_
_atom_site_label
_atom_site_fract_x
_atom_site_fract_y
_atom_site_fract_z
Rb1 0.0000 0.2500 0.3750
Na1 0.0000 0.2500 0.8750
B1 0.0000 0.0000 0.0000
```

Results
**Formation energy**: 1.25 eV/atom
**Calculated density**: 3.114 g cm⁻³
**Energy relative to the lowest polymorph listed for this composition**: 0.000 eV per atom
**Energy**: -0.1956 Ry per atom
**Spin magnetization**: 0.0 Bohr magnetons per cell

***

Record 2
First-principles (PBE) data for a relaxed Ba2CaTl4Cd3 crystal, as listed in Alexandria.

Geometry as CIF:
```
data_Ba2CaTl4Cd3
_space_group_name_H-M_alt 'P -4 m 2'
_space_group_IT_number 115
_space_group_name_Hall 'P -4 -2'
_cell_length_a 4.9211
_cell_length_b 4.9211
_cell_length_c 13.5881
_cell_angle_alpha 90.00
_cell_angle_beta 90.00
_cell_angle_gamma 90.00
loop_
_atom_site_label
_atom_site_fract_x
_atom_site_fract_y
_atom_site_fract_z
Ba1 0.0000 0.5000 0.2331
Ca1 0.0000 0.0000 0.5000
Tl1 0.0000 0.0000 0.0000
Tl2 0.0000 0.5000 0.6490
Tl3 0.5000 0.5000 0.0000
Cd1 0.0000 0.5000 0.8658
Cd2 0.5000 0.5000 0.5000
```

Results
**Formation energy**: -0.28 eV/atom
**Calculated density**: 7.415 g cm⁻³
**Energy**: -0.1532 Ry per atom
**Spin magnetization**: 0.0 Bohr magnetons per cell

***

Record 3
First-principles (PBE) data for a relaxed AcTbBi2 crystal, as listed in Alexandria.

Geometry as CIF:
```
data_AcTbBi2
_space_group_name_H-M_alt 'P 63/m m c'
_space_group_IT_number 194
_space_group_name_Hall '-P 6c 2c'
_cell_length_a 4.6612
_cell_length_b 4.6612
_cell_length_c 15.4447
_cell_angle_alpha 90.00
_cell_angle_beta 90.00
_cell_angle_gamma 120.00
loop_
_atom_site_label
_atom_site_fract_x
_atom_site_fract_y
_atom_site_fract_z
Ac1 0.3333 0.6667 0.2500
Tb1 0.0000 0.0000 0.0000
Bi1 0.3333 0.6667 0.6124
```

Results
**Formation energy**: -0.89 eV/atom
**Calculated density**: 9.187 g cm⁻³
**Energy relative to the lowest polymorph listed for this composition**: 0.037 eV per atom
**Energy**: -0.3685 Ry per atom
**Spin magnetization**: 0.0 Bohr magnetons per cell

***

Record 4
First-principles (PBE) data for a relaxed Zn2PtPb crystal, as listed in Alexandria.

Geometry as CIF:
```
data_Zn2PtPb
_space_group_name_H-M_alt 'R 3 m'
_space_group_IT_number 160
_space_group_name_Hall 'R 3 -2"'
_cell_length_a 3.2149
_cell_length_b 3.2149
_cell_length_c 26.1032
_cell_angle_alpha 90.00
_cell_angle_beta 90.00
_cell_angle_gamma 120.00
loop_
_atom_site_label
_atom_site_fract_x
_atom_site_fract_y
_atom_site_fract_z
Zn1 0.0000 0.0000 0.0000
Zn2 0.0000 0.0000 0.2576
Pt1 0.0000 0.0000 0.5212
Pb1 0.0000 0.0000 0.7668
```

Results
**Formation energy**: 0.06 eV/atom
**Calculated density**: 11.366 g cm⁻³
**Energy**: -0.2213 Ry per atom
**Spin magnetization**: 0.0 Bohr magnetons per cell

***

Record 5
First-principles (PBE) data for a relaxed LiGaTc2N crystal, as listed in Alexandria.

Geometry as CIF:
```
data_LiGaTc2N
_space_group_name_H-M_alt 'P 4/m m m'
_space_group_IT_number 123
_space_group_name_Hall '-P 4 2'
_cell_length_a 4.0225
_cell_length_b 4.0225
_cell_length_c 3.8784
_cell_angle_alpha 90.00
_cell_angle_beta 90.00
_cell_angle_gamma 90.00
loop_
_atom_site_label
_atom_site_fract_x
_atom_site_fract_y
_atom_site_fract_z
Li1 0.0000 0.0000 0.0000
Ga1 0.5000 0.5000 0.0000
Tc1 0.0000 0.5000 0.5000
N1 0.0000 0.0000 0.5000
```

Results
**Calculated density**: 7.586 g cm⁻³
**Formation energy from raw total energies**: -0.1792 eV/atom
**Energy**: -0.5129 Ry per atom
**Spin magnetization**: 0.0 Bohr magnetons per cell

***

Record 6
First-principles (PBE) data for a relaxed AlCu2Re crystal, as listed in Alexandria.

Geometry as CIF:
```
data_AlCu2Re
_space_group_name_H-M_alt 'P m m 2'
_space_group_IT_number 25
_space_group_name_Hall 'P 2 -2'
_cell_length_a 2.6565
_cell_length_b 4.2892
_cell_length_c 4.7255
_cell_angle_alpha 90.00
_cell_angle_beta 90.00
_cell_angle_gamma 90.00
loop_
_atom_site_label
_atom_site_fract_x
_atom_site_fract_y
_atom_site_fract_z
Al1 0.0000 0.0000 0.0000
Cu1 0.0000 0.5000 0.6609
Cu2 0.5000 0.0000 0.5079
Re1 0.5000 0.5000 0.1707
```

Results
**Formation energy**: 0.03 eV/atom
**Calculated density**: 10.494 g cm⁻³
**Energy**: -0.4455 Ry per atom
**Spin magnetization**: 0.0 Bohr magnetons per cell

***

Record 7
First-principles (PBE) data for a relaxed Cr2CdCu crystal, as listed in Alexandria.

Geometry as CIF:
```
data_Cr2CdCu
_space_group_name_H-M_alt 'R -3 m'
_space_group_IT_number 166
_space_group_name_Hall '-R 3 2"'
_cell_length_a 2.6640
_cell_length_b 2.6640
_cell_length_c 27.4823
_cell_angle_alpha 90.00
_cell_angle_beta 90.00
_cell_angle_gamma 120.00
loop_
_atom_site_label
_atom_site_fract_x
_atom_site_fract_y
_atom_site_fract_z
Cr1 0.0000 0.0000 0.2434
Cd1 0.0000 0.0000 0.0000
Cu1 0.0000 0.0000 0.5000
```

Results
**Formation energy**: 0.66 eV/atom
**Calculated density**: 8.257 g cm⁻³
**Energy**: -0.3975 Ry per atom
**Spin magnetization**: 4.3 Bohr magnetons per cell

***

Record 8
First-principles (PBE) data for a relaxed HfCrSN2 crystal, as listed in Alexandria.

Geometry as CIF:
```
data_HfCrSN2
_space_group_name_H-M_alt 'P 4/m m m'
_space_group_IT_number 123
_space_group_name_Hall '-P 4 2'
_cell_length_a 4.0914
_cell_length_b 4.0914
_cell_length_c 5.1388
_cell_angle_alpha 90.00
_cell_angle_beta 90.00
_cell_angle_gamma 90.00
loop_
_atom_site_label
_atom_site_fract_x
_atom_site_fract_y
_atom_site_fract_z
Hf1 0.0000 0.0000 0.0000
Cr1 0.5000 0.5000 0.5000
S1 0.0000 0.0000 0.5000
N1 0.0000 0.5000 0.0000
```

Results
**Calculated density**: 5.609 g cm⁻³
**Formation energy from raw total energies**: 0.2700 eV/atom
**Energy relative to the lowest polymorph listed for this composition**: 0.328 eV per atom
**Energy**: -0.5734 Ry per atom
**Spin magnetization**: 2.8 Bohr magnetons per cell

***

Record 9
First-principles (PBE) data for a relaxed TaAl4Re crystal, as listed in Alexandria.

Geometry as CIF:
```
data_TaAl4Re
_space_group_name_H-M_alt 'F -4 3 m'
_space_group_IT_number 216
_space_group_name_Hall 'F -4 2 3'
_cell_length_a 7.1145
_cell_length_b 7.1145
_cell_length_c 7.1145
_cell_angle_alpha 90.00
_cell_angle_beta 90.00
_cell_angle_gamma 90.00
loop_
_atom_site_label
_atom_site_fract_x
_atom_site_fract_y
_atom_site_fract_z
Ta1 0.0000 0.0000 0.0000
Al1 0.1248 0.1248 0.6248
Re1 0.2500 0.2500 0.2500
```

Results
**Formation energy**: 0.04 eV/atom
**Calculated density**: 8.763 g cm⁻³
**Energy**: -0.4784 Ry per atom
**Spin magnetization**: 0.0 Bohr magnetons per cell

***

Record 10
First-principles (PBE) data for a relaxed Sc3Co crystal, as listed in Alexandria.

Geometry as CIF:
```
data_Sc3Co
_space_group_name_H-M_alt 'P 63/m m c'
_space_group_IT_number 194
_space_group_name_Hall '-P 6c 2c'
_cell_length_a 6.1358
_cell_length_b 6.1358
_cell_length_c 9.4611
_cell_angle_alpha 90.00
_cell_angle_beta 90.00
_cell_angle_gamma 120.00
loop_
_atom_site_label
_atom_site_fract_x
_atom_site_fract_y
_atom_site_fract_z
Sc1 0.0000 0.5000 0.0000
Sc2 0.1575 0.3150 0.2500
Co1 0.0000 0.0000 0.0000
Co2 0.3333 0.6667 0.7500
```

Results
**Formation energy**: 0.05 eV/atom
**Calculated density**: 4.173 g cm⁻³
**Energy**: -0.4760 Ry per atom
**Spin magnetization**: 0.7 Bohr magnetons per cell

***

Record 11
First-principles (PBE) data for a relaxed SnHgBiTe crystal, as listed in Alexandria.

Geometry as CIF:
```
data_SnHgBiTe
_space_group_name_H-M_alt 'F -4 3 m'
_space_group_IT_number 216
_space_group_name_Hall 'F -4 2 3'
_cell_length_a 7.7070
_cell_length_b 7.7070
_cell_length_c 7.7070
_cell_angle_alpha 90.00
_cell_angle_beta 90.00
_cell_angle_gamma 90.00
loop_
_atom_site_label
_atom_site_fract_x
_atom_site_fract_y
_atom_site_fract_z
Sn1 0.0000 0.0000 0.0000
Hg1 0.2500 0.2500 0.7500
Bi1 0.0000 0.0000 0.5000
Te1 0.2500 0.2500 0.2500
```

Results
**Calculated density**: 9.517 g cm⁻³
**Formation energy from raw total energies**: 0.1131 eV/atom
**Energy**: -0.1998 Ry per atom
**Spin magnetization**: 0.0 Bohr magnetons per cell

***

Record 12
First-principles (PBE) data for a relaxed CsLi4Mn3Cl12 crystal, as listed in Alexandria.

Geometry as CIF:
```
data_CsLi4Mn3Cl12
_space_group_name_H-M_alt 'R 3 2'
_space_group_IT_number 155
_space_group_name_Hall 'R 3 2"'
_cell_length_a 14.0829
_cell_length_b 14.0829
_cell_length_c 8.9165
_cell_angle_alpha 90.00
_cell_angle_beta 90.00
_cell_angle_gamma 120.00
loop_
_atom_site_label
_atom_site_fract_x
_atom_site_fract_y
_atom_site_fract_z
Cs1 0.0000 0.0000 0.0000
Li1 0.0000 0.0000 0.5000
Li2 0.0000 0.4308 0.5000
Mn1 0.0000 0.5657 0.0000
Cl1 0.0000 0.6009 0.5000
Cl2 0.0000 0.8366 0.5000
Cl3 0.0750 0.2483 0.1713
```

Results
**Calculated density**: 2.443 g cm⁻³
**Formation energy from raw total energies**: -1.3993 eV/atom
**Energy**: -0.3166 Ry per atom
**Spin magnetization**: 42.0 Bohr magnetons per cell

***

Question: Look up the spin magnetization of the tenth one.
Answer: 0.7 Bohr magnetons per cell

***

Question: Which of these has the highest spin magnetization?
Answer: CsLi4Mn3Cl12